An optimized crystal structure of RbGeSbO5. Source: Alexandria, functional PBE.

Cell: 13.615 6.813 10.932 Å, 90.00 90.00 90.00°
Space group Pna2_1 (No. 33)
Asymmetric unit:
Rb: 0.110 0.199 0.000 x4
Rb: 0.114 0.778 0.755 x4
Ge: 0.001 0.320 0.681 x4
Ge: 0.180 0.009 0.431 x4
Sb: 0.119 0.506 0.433 x4
Sb: 0.246 0.756 0.179 x4
O: 0.008 0.538 0.317 x4
O: 0.015 0.494 0.562 x4
O: 0.102 0.834 0.160 x4
O: 0.104 0.213 0.399 x4
O: 0.109 0.177 0.698 x4
O: 0.109 0.801 0.471 x4
O: 0.222 0.546 0.305 x4
O: 0.224 0.468 0.558 x4
O: 0.233 0.551 0.050 x4
O: 0.238 0.458 0.809 x4

ΔE_f (raw) ... -1.6673 eV per atom
Calculated volume ... 1014 Å³/cell